Entry from the Alexandria database: a geometry-optimized CaAl3Pt structure (GGA-PBE).

**ΔE_f**: -0.57 eV/atom
**Total magnetic moment**: 0.00 μB/atom
**Space group**: P2_1/c
**N(E_F)**: 0.393 states/eV per atom
**Density**: 5.1 Mg/m³

Lattice parameters (Å, degrees): 7.8822 6.6253 8.9312 90.00 118.25 90.00
Atoms (fractional coordinates):
Ca  0.1300  0.0861  0.2319
Ca  0.1300  0.4139  0.7319
Ca  0.8700  0.5861  0.2681
Ca  0.8700  0.9139  0.7681
Al  0.1572  0.6077  0.1079
Al  0.1572  0.8923  0.6079
Al  0.3079  0.0361  0.9358
Al  0.3079  0.4639  0.4358
Al  0.4605  0.1544  0.6828
Al  0.4605  0.3456  0.1828
Al  0.5395  0.6544  0.8172
Al  0.5395  0.8456  0.3172
Al  0.6921  0.5361  0.5642
Al  0.6921  0.9639  0.0642
Al  0.8428  0.1077  0.3921
Al  0.8428  0.3923  0.8921
Pt  0.4272  0.6879  0.0370
Pt  0.4272  0.8121  0.5370
Pt  0.5728  0.1879  0.4630
Pt  0.5728  0.3121  0.9630